No. 1
VASP calculation (PBE) on an optimized crystal structure of BC.

Results
Its space group is P2/m (10). The calculation puts the volume at 83 Å³/cell. As for the crystal system: monoclinic. Its total energy is -7.5660 eV per atom.

```
BC
1.0
-1.7349 -0.8325 1.6824
3.6072 -0.8966 3.2761
-0.8857 6.1543 2.1320
C B
6 6
Cartesian
-0.8765 3.4601 2.7500 C
1.6416 2.5038 4.8735 C
0.6849 0.6586 2.9738 C
0.9660 -0.8491 2.5177 C
1.5187 5.1728 4.1258 C
0.9813 1.6236 1.8153 C
1.6776 1.0500 4.1912 B
-0.1513 1.5618 0.6168 B
0.4346 3.0949 1.9796 B
-0.9124 4.9139 3.4323 B
2.0654 3.7015 3.9615 B
2.6513 5.2346 5.3243 B
```


No. 2
VASP calculation (PBE) on an optimized crystal structure of BC.

Results
Its space group is P-3m1 (164). The calculation puts the volume at 93 Å³/cell. As for the crystal system: trigonal. Its total energy is -7.6819 eV per atom.

```
BC
1.0
-0.5379 1.5965 2.1209
-1.8626 -1.7602 -0.8770
5.3816 -10.2000 9.0431
B C
6 6
Cartesian
-0.4763 -2.4319 1.7098 B
2.3431 -7.7756 6.4474 B
4.5325 -8.5908 7.6164 B
0.2907 -0.5510 0.4885 B
1.2033 -5.6153 4.5322 B
1.9703 -3.7344 3.3108 B
3.4895 -7.9927 8.6312 C
2.5768 -4.8839 4.3299 C
0.2196 -1.7951 3.1365 C
0.7365 -2.7747 4.0051 C
-1.0828 -1.2824 0.6907 C
2.8482 -6.7771 7.5535 C
```


No. 3
VASP calculation (PBE) on an optimized crystal structure of B7C5.

Results
Its space group is P1 (1). The calculation puts the volume at 84 Å³/cell. As for the crystal system: triclinic. Its total energy is -7.3150 eV per atom.

```
B7C5
1.0
4.3954 0.1095 -1.1650
2.8381 3.6146 -1.3211
0.2043 -0.1374 5.3554
B C
7 5
Cartesian
5.4219 1.5191 1.3451 B
2.5397 0.2484 1.4575 B
2.2612 1.1939 -0.0648 B
4.3498 0.1787 1.8331 B
4.5027 0.2345 3.7235 B
3.3756 2.4845 0.6782 B
2.9587 1.1105 2.8163 B
3.0340 0.1372 4.2006 C
3.5626 2.5717 2.6460 C
4.8110 2.3667 0.0315 C
5.1358 1.7056 -1.2966 C
5.1121 2.4431 2.7577 C
```


No. 4
VASP calculation (PBE) on an optimized crystal structure of B3C.

Results
Its space group is Pmma (51). The calculation puts the volume at 55 Å³/cell. As for the crystal system: orthorhombic. Its total energy is -6.9323 eV per atom.

```
B3C
1.0
2.3551 0.0000 0.0000
0.0000 2.4036 0.0000
0.0000 0.0000 9.7046
B C
6 2
Cartesian
0.5888 1.2018 3.3137 B
0.5888 0.0000 9.0304 B
1.7664 1.2018 6.3909 B
0.5888 1.2018 7.7293 B
1.7664 0.0000 0.6742 B
1.7664 1.2018 1.9753 B
1.7664 0.0000 5.2785 C
0.5888 0.0000 4.4261 C
```


No. 5
VASP calculation (PBE) on an optimized crystal structure of B7C5.

Results
Its space group is Cm (8). The calculation puts the volume at 122 Å³/cell. As for the crystal system: monoclinic. Its total energy is -7.3268 eV per atom.

```
B7C5
1.0
-5.9672 -2.9279 2.0223
-4.6337 -2.9423 4.2593
-3.2845 5.7538 1.9948
C B
5 7
Cartesian
-6.5254 -2.8117 3.8718 C
-5.6629 3.8750 3.4005 C
-8.0345 -2.4889 4.7734 C
-4.4429 -0.8451 2.6430 C
-10.3072 -4.0595 6.1181 C
-6.0950 2.4555 3.6490 B
-11.6086 -1.6208 6.9095 B
-3.2197 -0.2019 1.9180 B
-10.5786 1.6072 6.3163 B
-11.7698 -3.2847 6.9949 B
-0.7419 0.7663 0.4471 B
-7.1631 -1.3398 4.2613 B
```


No. 6
VASP calculation (PBE) on an optimized crystal structure of BC.

Results
Its space group is P-4m2 (115). The calculation puts the volume at 82 Å³/cell. As for the crystal system: tetragonal. Its total energy is -7.5658 eV per atom.

```
BC
1.0
2.6126 0.0000 0.0000
0.0000 2.6126 0.0000
0.0000 0.0000 12.0653
B C
6 6
Cartesian
1.3063 1.3063 2.0842 B
1.3063 0.0000 6.8234 B
1.3063 0.0000 11.2745 B
0.0000 0.0000 8.2331 B
0.0000 0.0000 3.9485 B
1.3063 1.3063 9.8649 B
0.0000 0.0000 0.1411 C
0.0000 1.3063 0.9460 C
1.3063 0.0000 3.0163 C
0.0000 1.3063 9.0490 C
0.0000 1.3063 5.0866 C
1.3063 1.3063 5.8916 C
```


Number 1: DFT formation energy 37.1 kJ/mol of atoms. Number 2: DFT formation energy 25.9 kJ/mol of atoms. Number 3: DFT formation energy 40.9 kJ/mol of atoms. Number 4: DFT formation energy 36.8 kJ/mol of atoms. Number 5: DFT formation energy 39.7 kJ/mol of atoms. Number 6: DFT formation energy 37.1 kJ/mol of atoms.